Version A
The following is a DFT calculation (PBE) of a geometry-optimized Re4Tc structure.

POSCAR file:
```
Re4Tc
1.0
-1.689 1.564 3.159
-1.368 -3.212 3.277
4.752 -0.471 0.356
Re Tc
4 1
direct
0.799 0.801 0.400 Re
0.201 0.199 0.600 Re
0.600 0.600 0.801 Re
0.400 0.400 0.199 Re
0.000 0.000 0.000 Tc
```

DOS at the Fermi energy = 4.1 states/eV per cell

***

Version B
The following is a DFT calculation (PBE) of a geometry-optimized Re4Tc structure.

POSCAR file:
```
Re4Tc
1.0
-2.004 2.004 5.495
2.004 -2.004 5.495
2.004 2.004 -5.495
Re Tc
4 1
direct
0.250 0.750 0.500 Re
0.611 0.611 0.000 Re
0.389 0.389 0.000 Re
0.750 0.250 0.500 Re
0.000 0.000 0.000 Tc
```

DOS at the Fermi energy = 6.3 states/eV per cell

***

Version C
The following is a DFT calculation (PBE) of a geometry-optimized Re4Tc structure.

POSCAR file:
```
Re4Tc
1.0
0.096 3.122 3.826
-4.218 -2.567 0.075
3.825 -3.108 0.316
Re Tc
4 1
direct
0.000 0.500 0.000 Re
0.000 0.000 0.500 Re
0.500 0.500 0.500 Re
0.500 0.000 0.000 Re
0.000 0.000 0.000 Tc
```

DOS at the Fermi energy = 8.3 states/eV per cell

***

Version D
The following is a DFT calculation (PBE) of a geometry-optimized Re4Tc structure.

POSCAR file:
```
Re4Tc
1.0
-3.266 -1.841 2.787
1.681 -3.803 -0.542
6.759 -2.525 6.252
Re Tc
8 2
direct
0.220 0.271 0.229 Re
0.720 0.729 0.271 Re
0.780 0.729 0.771 Re
0.280 0.271 0.729 Re
0.788 0.408 0.592 Re
0.288 0.592 0.908 Re
0.212 0.592 0.408 Re
0.712 0.408 0.092 Re
0.000 0.000 0.000 Tc
0.500 0.000 0.500 Tc
```

DOS at the Fermi energy = 9.9 states/eV per cell

***

Stability ranking, top entry: version A; the second entry is 512 meV/atom less favorable.

***

Version A
The following is a DFT calculation (PBE) of a geometry-optimized Re5Tc6 structure.

POSCAR file:
```
Re5Tc6
1.0
-0.782 -4.356 -1.347
2.461 -1.725 -3.793
6.140 -3.696 5.076
Re Tc
5 6
direct
0.000 0.000 0.500 Re
0.670 0.660 0.000 Re
0.330 0.340 0.000 Re
0.328 0.345 0.500 Re
0.672 0.655 0.500 Re
0.605 0.000 0.752 Tc
0.395 0.000 0.248 Tc
0.946 0.321 0.756 Tc
0.734 0.321 0.244 Tc
0.054 0.679 0.244 Tc
0.266 0.679 0.756 Tc
```

DOS at the Fermi energy = 9.2 states/eV per cell

***

Version B
The following is a DFT calculation (PBE) of a geometry-optimized Re5Tc6 structure.

POSCAR file:
```
Re5Tc6
1.0
7.209 0.000 -0.656
3.605 5.148 -0.328
1.829 0.000 4.384
Re Tc
5 6
direct
0.500 0.000 0.500 Re
0.372 0.256 0.000 Re
0.628 0.744 0.000 Re
0.239 0.523 0.500 Re
0.761 0.477 0.500 Re
0.827 0.000 0.679 Tc
0.173 0.000 0.321 Tc
0.321 0.731 0.828 Tc
0.948 0.731 0.172 Tc
0.679 0.269 0.172 Tc
0.052 0.269 0.828 Tc
```

DOS at the Fermi energy = 10.4 states/eV per cell

***

Stability ranking, top entry: version A; the second entry is 44 meV/atom less favorable.

***

Version A
The following is a DFT calculation (PBE) of a geometry-optimized Ti4Re2Tc structure.

POSCAR file:
```
Ti4Re2Tc
1.0
5.042 0.029 -1.757
-2.505 4.347 -1.826
0.017 -0.029 5.339
Ti Re Tc
4 2 1
direct
0.500 0.000 0.000 Ti
0.500 0.500 0.500 Ti
0.000 0.000 0.500 Ti
0.000 0.500 0.000 Ti
0.500 0.500 0.000 Re
0.500 0.000 0.500 Re
0.000 0.000 0.000 Tc
```

DOS at the Fermi energy = 6.7 states/eV per cell

***

Version B
The following is a DFT calculation (PBE) of a geometry-optimized Ti4Re2Tc structure.

POSCAR file:
```
Ti4Re2Tc
1.0
-1.319 3.409 2.743
-4.106 0.025 -2.006
-4.801 -2.489 4.591
Re Tc Ti
2 1 4
direct
0.383 0.383 0.235 Re
0.617 0.617 0.765 Re
0.000 0.000 0.000 Tc
0.197 0.197 0.606 Ti
0.803 0.803 0.394 Ti
0.000 0.500 0.000 Ti
0.500 0.000 0.000 Ti
```

DOS at the Fermi energy = 6.8 states/eV per cell

***

Stability ranking, top entry: version A; the second entry is 889 meV/atom less favorable.

***

Version A
The following is a DFT calculation (PBE) of a geometry-optimized Ti2ReTc structure.

POSCAR file:
```
Ti2ReTc
1.0
2.704 -0.539 3.427
-1.477 -1.878 3.693
1.362 -4.031 1.114
Re Tc Ti
1 1 2
direct
0.500 0.500 0.500 Re
0.000 0.000 0.000 Tc
0.250 0.250 0.250 Ti
0.750 0.750 0.750 Ti
```

DOS at the Fermi energy = 3.5 states/eV per cell

***

Version B
The following is a DFT calculation (PBE) of a geometry-optimized Ti2ReTc structure.

POSCAR file:
```
Ti2ReTc
1.0
-2.737 -1.665 6.167
5.071 -4.646 0.996
2.666 -1.268 4.756
Re Tc Ti
2 2 4
direct
0.000 0.000 0.000 Re
0.750 0.250 0.500 Re
0.500 0.500 0.000 Tc
0.250 0.750 0.500 Tc
0.621 0.125 0.250 Ti
0.129 0.625 0.250 Ti
0.375 0.379 0.750 Ti
0.875 0.871 0.750 Ti
```

DOS at the Fermi energy = 7.1 states/eV per cell

***

Stability ranking, top entry: version A; the second entry is 756 meV/atom less favorable.

***

Version A
The following is a DFT calculation (PBE) of a geometry-optimized TiRe2Tc structure.

POSCAR file:
```
TiRe2Tc
1.0
7.176 0.000 0.000
0.000 7.176 0.000
3.588 3.588 2.568
Re Tc Ti
4 2 2
direct
0.645 0.125 0.250 Re
0.105 0.625 0.250 Re
0.375 0.355 0.750 Re
0.875 0.895 0.750 Re
0.000 0.000 0.000 Tc
0.750 0.250 0.500 Tc
0.500 0.500 0.000 Ti
0.250 0.750 0.500 Ti
```

DOS at the Fermi energy = 8.0 states/eV per cell

***

Version B
The following is a DFT calculation (PBE) of a geometry-optimized TiRe2Tc structure.

POSCAR file:
```
TiRe2Tc
1.0
-2.717 -0.875 -1.154
-0.110 -2.321 2.020
-2.959 3.737 4.132
Re Tc Ti
2 1 1
direct
0.000 0.000 0.753 Re
0.000 0.000 0.247 Re
0.500 0.500 0.500 Tc
0.500 0.500 0.000 Ti
```

DOS at the Fermi energy = 2.6 states/eV per cell

***

Version C
The following is a DFT calculation (PBE) of a geometry-optimized TiRe2Tc structure.

POSCAR file:
```
TiRe2Tc
1.0
2.637 0.204 -0.355
-0.672 4.361 -2.498
0.694 0.023 5.172
Ti Re Tc
1 2 1
direct
0.622 0.134 0.000 Ti
0.128 0.134 0.500 Re
0.857 0.634 0.500 Re
0.392 0.634 0.000 Tc
```

DOS at the Fermi energy = 3.0 states/eV per cell

***

Stability ranking, top entry: version B; the second entry is 147 meV/atom less favorable.

***

Version A
The following is a DFT calculation (PBE) of a geometry-optimized TiRe2Tc structure.

POSCAR file:
```
TiRe2Tc
1.0
4.195 0.000 0.000
0.000 3.805 0.000
0.000 0.000 3.805
Re Tc Ti
2 1 1
direct
0.000 0.000 0.500 Re
0.000 0.500 0.000 Re
0.500 0.500 0.500 Tc
0.500 0.000 0.000 Ti
```

DOS at the Fermi energy = 5.5 states/eV per cell

***

Version B
The following is a DFT calculation (PBE) of a geometry-optimized TiRe2Tc structure.

POSCAR file:
```
TiRe2Tc
1.0
4.199 -1.234 0.357
1.062 -4.256 -0.200
2.133 -1.568 -3.503
Re Tc Ti
2 1 1
direct
0.250 0.250 0.250 Re
0.750 0.750 0.750 Re
0.500 0.500 0.500 Tc
0.000 0.000 0.000 Ti
```

DOS at the Fermi energy = 3.1 states/eV per cell

***

Stability ranking, top entry: version B; the second entry is 169 meV/atom less favorable.

***

Version A
The following is a DFT calculation (PBE) of a geometry-optimized TlRe2Tc structure.

POSCAR file:
```
TlRe2Tc
1.0
7.537 0.000 0.000
0.000 7.537 0.000
3.769 3.769 2.660
Re Tl Tc
4 2 2
direct
0.567 0.125 0.250 Re
0.183 0.625 0.250 Re
0.375 0.433 0.750 Re
0.875 0.817 0.750 Re
0.000 0.000 0.000 Tl
0.750 0.250 0.500 Tl
0.500 0.500 0.000 Tc
0.250 0.750 0.500 Tc
```

DOS at the Fermi energy = 8.0 states/eV per cell

***

Version B
The following is a DFT calculation (PBE) of a geometry-optimized TlRe2Tc structure.

POSCAR file:
```
TlRe2Tc
1.0
0.000 3.209 3.209
3.209 0.000 3.209
3.209 3.209 0.000
Re Tl Tc
2 1 1
direct
0.250 0.250 0.250 Re
0.750 0.750 0.750 Re
0.500 0.500 0.500 Tl
0.000 0.000 0.000 Tc
```

DOS at the Fermi energy = 6.4 states/eV per cell

***

Version C
The following is a DFT calculation (PBE) of a geometry-optimized TlRe2Tc structure.

POSCAR file:
```
TlRe2Tc
1.0
-1.676 -3.893 1.601
2.581 -2.688 2.578
-0.891 -0.435 4.421
Re Tc Tl
2 1 1
direct
0.000 0.000 0.000 Re
0.250 0.250 0.250 Re
0.500 0.500 0.500 Tc
0.750 0.750 0.750 Tl
```

DOS at the Fermi energy = 4.4 states/eV per cell

***

Version D
The following is a DFT calculation (PBE) of a geometry-optimized TlRe2Tc structure.

POSCAR file:
```
TlRe2Tc
1.0
9.417 -0.013 -0.008
8.980 2.838 -0.008
8.980 1.379 2.481
Re Tc Tl
2 1 1
direct
0.993 0.993 0.993 Re
0.250 0.250 0.250 Re
0.507 0.507 0.507 Tc
0.751 0.751 0.751 Tl
```

DOS at the Fermi energy = 5.2 states/eV per cell

***

Stability ranking, top entry: version D; the second entry is 297 meV/atom less favorable.

***

Version A
The following is a DFT calculation (PBE) of a geometry-optimized TlRe2Tc structure.

POSCAR file:
```
TlRe2Tc
1.0
9.580 -0.006 -0.003
9.154 2.825 -0.003
9.154 1.378 2.467
Re Tc Tl
2 1 1
direct
0.992 0.992 0.992 Re
0.508 0.508 0.508 Re
0.250 0.250 0.250 Tc
0.750 0.750 0.750 Tl
```

DOS at the Fermi energy = 5.5 states/eV per cell

***

Version B
The following is a DFT calculation (PBE) of a geometry-optimized TlRe2Tc structure.

POSCAR file:
```
TlRe2Tc
1.0
2.865 0.000 0.000
0.000 2.865 0.000
0.000 0.000 8.143
Re Tc Tl
2 1 1
direct
0.000 0.000 0.031 Re
0.000 0.000 0.469 Re
0.500 0.500 0.250 Tc
0.500 0.500 0.750 Tl
```

DOS at the Fermi energy = 4.5 states/eV per cell

***

Version C
The following is a DFT calculation (PBE) of a geometry-optimized TlRe2Tc structure.

POSCAR file:
```
TlRe2Tc
1.0
4.963 0.048 0.000
1.692 4.666 0.000
-3.327 -2.357 2.829
Re Tc Tl
2 1 1
direct
0.000 0.000 0.000 Re
0.250 0.750 0.500 Re
0.500 0.500 0.000 Tc
0.750 0.250 0.500 Tl
```

DOS at the Fermi energy = 5.4 states/eV per cell

***

Stability ranking, top entry: version A; the second entry is 17 meV/atom less favorable.